Crystalline Sm2YEr4 at its relaxed geometry, computed with PBE-GGA.

Unit cell a=3.536 b=8.709 c=8.572 alpha=119.37 beta=101.90 gamma=90.03
Positions (direct):
Sm1 0.931 0.568 0.860
Sm2 0.069 0.432 0.140
Er1 0.646 0.843 0.291
Er2 0.704 0.294 0.409
Er3 0.354 0.157 0.709
Er4 0.296 0.706 0.591
Y1 0.000 0.000 0.000

- Space-group type: C2/m (12)
- DFT formation energy: 0.048 eV/atom

=====

Crystalline Tm8As3Se4 at its relaxed geometry, computed with PBE-GGA.

Unit cell a=7.991 b=8.016 c=8.016 alpha=89.91 beta=120.02 gamma=120.02
Positions (direct):
Tm1 0.994 0.745 0.745
Tm2 0.000 0.254 0.746
Tm3 0.500 0.254 0.746
Tm4 0.513 0.259 0.259
Tm5 0.500 0.746 0.254
Tm6 0.006 0.255 0.255
Tm7 0.487 0.741 0.741
Tm8 0.000 0.746 0.254
Se1 0.000 0.000 0.000
Se2 0.500 0.000 0.000
Se3 0.000 0.500 0.000
Se4 0.000 0.000 0.500
As1 0.500 0.500 0.500
As2 0.500 0.500 0.000
As3 0.500 0.000 0.500

- Space-group type: C2/m (12)
- Formation energy without anion corrections: -1.51 eV/atom

=====

Crystalline TmMnCo2 at its relaxed geometry, computed with PBE-GGA.

Unit cell a=4.351 b=4.351 c=4.351 alpha=60.00 beta=60.00 gamma=60.00
Site moments in Bohr magnetons follow the coordinates.
Positions (direct):
Tm1 0.000 0.000 0.000  -0.40
Co1 0.250 0.250 0.250  0.89
Co2 0.750 0.750 0.750  0.89
Mn1 0.500 0.500 0.500  3.21

- Space-group type: Fm-3m (225)
- DFT formation energy: -0.031 eV/atom
- Polymorph energy (0 for the lowest one): 0.016 eV/atom

=====

Crystalline BaCdSbI2 at its relaxed geometry, computed with PBE-GGA.

Unit cell a=6.005 b=6.005 c=5.666 alpha=90.00 beta=90.00 gamma=90.00
Site moments in Bohr magnetons follow the coordinates.
Positions (direct):
I1 0.000 0.500 0.000  0.05
I2 0.500 0.000 0.000  0.05
Sb1 0.000 0.000 0.500  0.27
Cd1 0.000 0.000 0.000  0.00
Ba1 0.500 0.500 0.500  0.01

- Space-group type: P4/mmm (123)
- Polymorph energy (0 for the lowest one): 0.000 eV/atom
- Formation energy without anion corrections: -0.53 eV/atom